(1)
Computed, not measured: a relaxed LaGe2Ir crystal at the GGA-PBE level of DFT. Values from VASP.

```
&SYSTEM
  ibrav = 0, nat = 16, ntyp = 3
/
ATOMIC_SPECIES
La 138.91 La.upf
Ge 72.64 Ge.upf
Ir 192.22 Ir.upf
CELL_PARAMETERS angstrom
7.107 0.000 0.000
0.000 4.438 0.000
0.000 0.000 10.584
ATOMIC_POSITIONS crystal
La 0.170 0.250 0.130
La 0.330 0.750 0.630
La 0.670 0.250 0.370
La 0.830 0.750 0.870
Ge 0.139 0.250 0.828
Ge 0.185 0.250 0.423
Ge 0.315 0.750 0.923
Ge 0.361 0.750 0.328
Ge 0.639 0.250 0.672
Ge 0.685 0.250 0.077
Ge 0.815 0.750 0.577
Ge 0.861 0.750 0.172
Ir 0.003 0.750 0.384
Ir 0.497 0.250 0.884
Ir 0.503 0.750 0.116
Ir 0.997 0.250 0.616
```

ΔH_f (0 K) in eV/atom: -0.768

=====

(2)
Computed, not measured: a relaxed UAl2HgO8 crystal at the GGA-PBE level of DFT. Values from VASP.

```
&SYSTEM
  ibrav = 0, nat = 12, ntyp = 4
/
ATOMIC_SPECIES
U 238.03 U.upf
Al 26.98 Al.upf
Hg 200.59 Hg.upf
O 16.00 O.upf
CELL_PARAMETERS angstrom
3.429 -3.322 0.000
3.429 3.322 0.000
-0.564 0.000 6.280
ATOMIC_POSITIONS crystal
U 0.000 0.000 0.000
Al 0.492 0.492 0.749
Al 0.508 0.508 0.251
Hg 0.000 0.000 0.500
O 0.214 0.214 0.755
O 0.229 0.229 0.209
O 0.316 0.684 0.000
O 0.331 0.669 0.500
O 0.669 0.331 0.500
O 0.684 0.316 0.000
O 0.771 0.771 0.791
O 0.786 0.786 0.245
```

Formation energy without anion corrections in eV per atom: -2.10

=====

Please write out number 1 again, unchanged.
Computed, not measured: a relaxed LaGe2Ir crystal at the GGA-PBE level of DFT. Values from VASP.

```
&SYSTEM
  ibrav = 0, nat = 16, ntyp = 3
/
ATOMIC_SPECIES
La 138.91 La.upf
Ge 72.64 Ge.upf
Ir 192.22 Ir.upf
CELL_PARAMETERS angstrom
7.107 0.000 0.000
0.000 4.438 0.000
0.000 0.000 10.584
ATOMIC_POSITIONS crystal
La 0.170 0.250 0.130
La 0.330 0.750 0.630
La 0.670 0.250 0.370
La 0.830 0.750 0.870
Ge 0.139 0.250 0.828
Ge 0.185 0.250 0.423
Ge 0.315 0.750 0.923
Ge 0.361 0.750 0.328
Ge 0.639 0.250 0.672
Ge 0.685 0.250 0.077
Ge 0.815 0.750 0.577
Ge 0.861 0.750 0.172
Ir 0.003 0.750 0.384
Ir 0.497 0.250 0.884
Ir 0.503 0.750 0.116
Ir 0.997 0.250 0.616
```

ΔH_f (0 K) in eV/atom: -0.768

=====

Q: What is the formula in the second record?
A: UAl2HgO8

=====

Q: Which formula does entry 2 have?
A: UAl2HgO8